No. 1
Compound: YMo2Br
Source: Alexandria via LeMat-Bulk
Functional: PBEsol
Structure: optimized geometry

Lattice parameters (Å, degrees): 2.980 2.980 9.046 90.00 90.00 110.56
Atoms (fractional coordinates):
Y 0.500 0.500 0.500
Br 0.500 0.500 0.000
Mo 0.000 0.000 0.767
Mo 0.000 0.000 0.233

Values from the calculation:
E_form (uncorrected) = 0.81 eV/atom
Space-group type = No. 65
ΔE to the lowest computed polymorph = 164 meV/atom
Mass density = 7.963 g cm⁻³


No. 2
Compound: ZnMo2Br
Source: Alexandria via LeMat-Bulk
Functional: PBEsol
Structure: optimized geometry

Lattice parameters (Å, degrees): 3.796 3.796 5.214 111.35 111.35 90.00
Atoms (fractional coordinates):
Br 0.000 0.000 0.000
Mo 0.250 0.750 0.500
Mo 0.750 0.250 0.500
Zn 0.500 0.500 0.000

Values from the calculation:
E_form (uncorrected) = 0.94 eV/atom
Space-group type = No. 139
Mass density = 8.692 g cm⁻³